Computed, not measured: Cs2KMgAs after structural relaxation at the PBE level of DFT.

Values from the calculation:
- relative energy among the computed polymorphs (eV per atom) = 0.088
- size of the total moment (μB/atom) = 0.0000
- ΔH_f (0 K) (kJ per mole of atoms) = -3.34

abc: 7.837 7.837 4.942
angles: 90.00 90.00 90.00
Space group P4/mmm (No. 123)
Inequivalent atoms, fractional coordinates:
Cs1 0.000 0.500 0.000 x2
K1 0.000 0.000 0.500 x1
Mg1 0.500 0.500 0.000 x1
As1 0.500 0.500 0.500 x1